# LiMo2Au, relaxed, DFT PBE
data_LiMo2Au
_cell_length_a 3.235
_cell_length_b 3.235
_cell_length_c 5.993
_cell_angle_alpha 90.00
_cell_angle_beta 90.00
_cell_angle_gamma 90.00
_space_group_name_H-M_alt 'P 4 m m'
_space_group_IT_number 99
loop_
_space_group_symop_operation_xyz
'x,y,z'
'-y,x,z'
'-x,-y,z'
'y,-x,z'
'-x,y,z'
'y,x,z'
'x,-y,z'
'-y,-x,z'
loop_
_atom_site_label
_atom_site_type_symbol
_atom_site_fract_x
_atom_site_fract_y
_atom_site_fract_z
Li1 Li 0.000 0.000 0.000
Mo1 Mo 0.000 0.000 0.480
Mo2 Mo 0.500 0.500 0.270
Au1 Au 0.500 0.500 0.792
# total magnetization	0.00	μB per cell
# calculated density	10483	kg/m³
# density of states at the Fermi level	2.37	states/eV/cell

# Li2MoAu, relaxed, DFT PBE
data_Li2MoAu
_cell_length_a 9.475
_cell_length_b 2.664
_cell_length_c 5.086
_cell_angle_alpha 90.00
_cell_angle_beta 96.44
_cell_angle_gamma 90.00
_space_group_name_H-M_alt 'C 1 m 1'
_space_group_IT_number 8
loop_
_space_group_symop_operation_xyz
'x,y,z'
'x,-y,z'
'x+1/2,y+1/2,z'
'x+1/2,-y+1/2,z'
loop_
_atom_site_label
_atom_site_type_symbol
_atom_site_fract_x
_atom_site_fract_y
_atom_site_fract_z
Li1 Li 0.000 0.000 0.000
Li2 Li 0.241 0.000 0.807
Mo1 Mo 0.484 0.000 0.487
Au1 Au 0.237 0.500 0.298
# total magnetization	0.33	μB per cell
# calculated density	7987	kg/m³
# density of states at the Fermi level	6.57	states/eV/cell

# Li2MoAu, relaxed, DFT PBE
data_Li2MoAu
_cell_length_a 3.948
_cell_length_b 3.948
_cell_length_c 8.227
_cell_angle_alpha 90.00
_cell_angle_beta 90.00
_cell_angle_gamma 90.00
_space_group_name_H-M_alt 'I 4/m m m'
_space_group_IT_number 139
_space_group_name_Hall '-I 4 2'
loop_
_atom_site_label
_atom_site_type_symbol
_atom_site_fract_x
_atom_site_fract_y
_atom_site_fract_z
Li1 Li 0.000 0.500 0.250
Mo1 Mo 0.000 0.000 0.000
Au1 Au 0.000 0.000 0.500
# total magnetization	5.64	μB per cell
# calculated density	7946	kg/m³
# density of states at the Fermi level	4.64	states/eV/cell

| no. | electronic total energy (eV per cell) | energy of formation from the pure elements (eV per atom) | energy above the lowest structure with this stoichiometry (meV/atom) |
| --- | --- | --- | --- |
| 1 | -26.3 | 0.13 | 35.6 |
| 2 | -34.3 | 0.20 | 157.6 |
| 3 | -33.2 | 0.33 | 285.1 |